1.
Compound: NdTaMo
Source: the Open Quantum Materials Database
Functional: GGA-PBE
Structure: relaxed

a = 4.657 Å, b = 4.657 Å, c = 4.657 Å
α = 60.00°, β = 60.00°, γ = 60.00°
Element x y z (fractional)
Mo 0.250 0.250 0.250
Nd 0.000 0.000 0.000
Ta 0.750 0.750 0.750

Output
Magnetization: 0.1911 μB per atom
Crystal system: cubic
Calculated formation energy: 1.835 eV/atom
Electronic total energy: -21.96 eV per cell

***

2.
Compound: NdSmO4
Source: the Open Quantum Materials Database
Functional: GGA-PBE
Structure: relaxed

a = 3.893 Å, b = 3.893 Å, c = 6.399 Å
α = 96.71°, β = 96.71°, γ = 60.71°
Element x y z (fractional)
Nd 0.304 0.304 0.769
O 0.349 0.349 0.147
O 0.081 0.081 0.427
O 0.920 0.920 0.566
O 0.651 0.651 0.861
Sm 0.694 0.694 0.231

Output
Magnetization: 0.0001 μB per atom
Crystal system: monoclinic
Electronic total energy: -46.44 eV per cell

***

3.
Compound: BaErAgSe3
Source: the Open Quantum Materials Database
Functional: GGA-PBE
Structure: relaxed

a = 8.267 Å, b = 4.243 Å, c = 9.931 Å
α = 90.00°, β = 107.32°, γ = 90.00°
Element x y z (fractional)
Ag 0.912 0.750 0.406
Ag 0.088 0.250 0.594
Ba 0.239 0.250 0.278
Ba 0.761 0.750 0.722
Er 0.690 0.250 0.155
Er 0.310 0.750 0.845
Se 0.919 0.750 0.140
Se 0.448 0.750 0.142
Se 0.728 0.250 0.452
Se 0.272 0.750 0.548
Se 0.552 0.250 0.858
Se 0.081 0.250 0.860

Output
Magnetization: 0.0006 μB per atom
Crystal system: monoclinic
Electronic total energy: -57.97 eV per cell

***

4.
Compound: MgOsPd2
Source: the Open Quantum Materials Database
Functional: GGA-PBE
Structure: relaxed

a = 4.647 Å, b = 4.647 Å, c = 4.647 Å
α = 127.89°, β = 127.86°, γ = 76.83°
Element x y z (fractional)
Mg 0.500 0.500 0.000
Os 0.000 0.000 0.000
Pd 0.750 0.250 0.500
Pd 0.250 0.750 0.500

Output
Magnetization: 0.1232 μB per atom
Crystal system: tetragonal
Electronic total energy: -22.85 eV per cell